Entry 1:
## Na2Tb2AuO6 (PBE)

Data for a relaxed structure of Na2Tb2AuO6.

abc: 5.906 5.906 5.865
angles: 97.16 97.16 121.05
Fractional coordinates of all 11 atoms:
Na: 0.150 0.850 0.000
Na: 0.850 0.150 0.000
Tb: 0.336 0.664 0.500
Tb: 0.664 0.336 0.500
Au: 0.000 0.000 0.500
O: 0.043 0.381 0.705
O: 0.245 0.245 0.302
O: 0.381 0.043 0.705
O: 0.619 0.957 0.295
O: 0.755 0.755 0.698
O: 0.957 0.619 0.295

Values from the calculation:
Total DFT energy (no corrections) ... -6.023 eV per atom
Space group ... C2/m (12)
Uncorrected formation energy ... -1.94 eV per atom

---

Entry 2:
## Na3Tb3AuO8 (PBE)

Data for a relaxed structure of Na3Tb3AuO8.

abc: 6.791 6.791 6.858
angles: 120.24 120.24 60.53
Fractional coordinates of all 15 atoms:
Na: 0.000 0.000 0.000
Na: 0.000 0.500 0.000
Na: 0.500 0.000 0.000
Tb: 0.000 0.500 0.500
Tb: 0.500 0.000 0.500
Tb: 0.500 0.500 0.500
Au: 0.000 0.000 0.500
O: 0.218 0.218 0.699
O: 0.235 0.747 0.713
O: 0.253 0.765 0.287
O: 0.262 0.262 0.292
O: 0.738 0.738 0.708
O: 0.747 0.235 0.713
O: 0.765 0.253 0.287
O: 0.782 0.782 0.301

Values from the calculation:
Total DFT energy (no corrections) ... -6.232 eV per atom
Space group ... C2/m (12)
Uncorrected formation energy ... -2.18 eV per atom

---

Entry 3:
## Na2TbAuO4 (PBE)

Data for a relaxed structure of Na2TbAuO4.

abc: 5.294 5.294 5.294
angles: 111.82 111.82 104.87
Fractional coordinates of all 8 atoms:
Na: 0.000 0.000 0.000
Na: 0.750 0.250 0.500
Tb: 0.500 0.500 0.000
Au: 0.250 0.750 0.500
O: 0.084 0.480 0.028
O: 0.452 0.056 0.972
O: 0.520 0.548 0.604
O: 0.944 0.916 0.396

Values from the calculation:
Total DFT energy (no corrections) ... -5.476 eV per atom
Space group ... I-4 (82)
Uncorrected formation energy ... -1.68 eV per atom

---

Entry 4:
## NaTc2AuO8 (PBE)

Data for a relaxed structure of NaTc2AuO8.

abc: 8.753 8.753 8.753
angles: 35.45 35.45 35.45
Fractional coordinates of all 12 atoms:
Na: 0.000 0.000 0.000
Tc: 0.253 0.253 0.253
Tc: 0.747 0.747 0.747
Au: 0.500 0.500 0.500
O: 0.082 0.459 0.768
O: 0.232 0.541 0.918
O: 0.324 0.324 0.324
O: 0.459 0.768 0.082
O: 0.541 0.918 0.232
O: 0.676 0.676 0.676
O: 0.768 0.082 0.459
O: 0.918 0.232 0.541

Values from the calculation:
Total DFT energy (no corrections) ... -6.562 eV per atom
Space group ... R32 (155)
Uncorrected formation energy ... -1.15 eV per atom

---

Entry 5:
## NaTeAu2O6 (PBE)

Data for a relaxed structure of NaTeAu2O6.

abc: 6.940 6.940 5.946
angles: 96.64 96.64 80.92
Fractional coordinates of all 20 atoms:
Na: 0.092 0.908 0.750
Na: 0.908 0.092 0.250
Te: 0.285 0.715 0.250
Te: 0.715 0.285 0.750
Au: 0.164 0.340 0.786
Au: 0.340 0.164 0.286
Au: 0.660 0.836 0.714
Au: 0.836 0.660 0.214
O: 0.040 0.732 0.033
O: 0.075 0.669 0.447
O: 0.268 0.960 0.467
O: 0.331 0.925 0.053
O: 0.363 0.370 0.068
O: 0.370 0.363 0.568
O: 0.630 0.637 0.432
O: 0.637 0.630 0.932
O: 0.669 0.075 0.947
O: 0.732 0.040 0.533
O: 0.925 0.331 0.553
O: 0.960 0.268 0.967

Values from the calculation:
Total DFT energy (no corrections) ... -4.604 eV per atom
Space group ... C2/c (15)
Uncorrected formation energy ... -0.53 eV per atom

---

Entry 6:
## NaTiAu2O6 (PBE)

Data for a relaxed structure of NaTiAu2O6.

abc: 7.206 7.206 7.220
angles: 110.89 110.89 58.25
Fractional coordinates of all 20 atoms:
Na: 0.209 0.791 0.750
Na: 0.791 0.209 0.250
Ti: 0.319 0.681 0.250
Ti: 0.681 0.319 0.750
Au: 0.178 0.260 0.106
Au: 0.260 0.178 0.606
Au: 0.740 0.822 0.394
Au: 0.822 0.740 0.894
O: 0.094 0.321 0.363
O: 0.095 0.791 0.034
O: 0.209 0.905 0.466
O: 0.321 0.094 0.863
O: 0.383 0.400 0.257
O: 0.400 0.383 0.757
O: 0.600 0.617 0.243
O: 0.617 0.600 0.743
O: 0.679 0.906 0.137
O: 0.791 0.095 0.534
O: 0.905 0.209 0.966
O: 0.906 0.679 0.637

Values from the calculation:
Total DFT energy (no corrections) ... -5.572 eV per atom
Space group ... C2/c (15)
Uncorrected formation energy ... -1.02 eV per atom

---

Entry 7:
## Na3Tl2AuO6 (PBE)

Data for a relaxed structure of Na3Tl2AuO6.

abc: 5.971 5.971 5.764
angles: 98.25 98.25 122.06
Fractional coordinates of all 12 atoms:
Na: 0.000 0.000 0.000
Na: 0.338 0.662 0.000
Na: 0.662 0.338 0.000
Tl: 0.171 0.829 0.500
Tl: 0.829 0.171 0.500
Au: 0.500 0.500 0.500
O: 0.078 0.414 0.266
O: 0.268 0.268 0.707
O: 0.414 0.078 0.266
O: 0.586 0.922 0.734
O: 0.732 0.732 0.293
O: 0.922 0.586 0.734

Values from the calculation:
Total DFT energy (no corrections) ... -4.349 eV per atom
Space group ... C2/m (12)
Uncorrected formation energy ... -0.87 eV per atom

---

Entry 8:
## NaTlAuO4 (PBE)

Data for a relaxed structure of NaTlAuO4.

abc: 6.686 6.686 6.686
angles: 118.98 118.00 92.64
Fractional coordinates of all 14 atoms:
Na: 0.390 0.140 0.250
Na: 0.610 0.860 0.750
Tl: 0.000 0.000 0.500
Tl: 0.000 0.500 0.000
Au: 0.000 0.500 0.500
Au: 0.500 0.500 0.000
O: 0.197 0.720 0.477
O: 0.248 0.299 0.551
O: 0.248 0.698 0.949
O: 0.257 0.280 0.977
O: 0.743 0.720 0.023
O: 0.752 0.302 0.051
O: 0.752 0.701 0.449
O: 0.803 0.280 0.523

Values from the calculation:
Total DFT energy (no corrections) ... -4.387 eV per atom
Space group ... Imma (74)
Uncorrected formation energy ... -0.56 eV per atom

---

Entry 9:
## Na2TlAuO4 (PBE)

Data for a relaxed structure of Na2TlAuO4.

abc: 6.348 3.183 6.523
angles: 90.00 118.10 90.00
Fractional coordinates of all 8 atoms:
Na: 0.000 0.000 0.000
Na: 0.500 0.500 0.500
Tl: 0.000 0.000 0.500
Au: 0.500 0.500 0.000
O: 0.077 0.500 0.305
O: 0.471 0.000 0.787
O: 0.529 0.000 0.213
O: 0.923 0.500 0.695

Values from the calculation:
Total DFT energy (no corrections) ... -4.369 eV per atom
Space group ... P2/m (10)
Uncorrected formation energy ... -0.85 eV per atom

---

Entry 10:
## Na3Tl3AuO8 (PBE)

Data for a relaxed structure of Na3Tl3AuO8.

abc: 6.766 6.766 6.819
angles: 120.04 120.04 60.62
Fractional coordinates of all 15 atoms:
Na: 0.000 0.000 0.000
Na: 0.000 0.500 0.000
Na: 0.500 0.000 0.000
Tl: 0.000 0.500 0.500
Tl: 0.500 0.000 0.500
Tl: 0.500 0.500 0.500
Au: 0.000 0.000 0.500
O: 0.215 0.215 0.705
O: 0.227 0.756 0.710
O: 0.244 0.773 0.290
O: 0.257 0.257 0.276
O: 0.743 0.743 0.724
O: 0.756 0.227 0.710
O: 0.773 0.244 0.290
O: 0.785 0.785 0.295

Values from the calculation:
Total DFT energy (no corrections) ... -4.434 eV per atom
Space group ... C2/m (12)
Uncorrected formation energy ... -0.83 eV per atom

---

Entry 11:
## Na6Tl2AuO (PBE)

Data for a relaxed structure of Na6Tl2AuO.

abc: 6.280 7.300 7.312
angles: 87.92 64.70 64.63
Fractional coordinates of all 10 atoms:
Na: 0.000 0.222 0.280
Na: 0.000 0.778 0.720
Na: 0.051 0.196 0.697
Na: 0.443 0.804 0.304
Na: 0.557 0.196 0.696
Na: 0.949 0.804 0.303
Tl: 0.499 0.664 0.837
Tl: 0.501 0.336 0.163
Au: 0.000 0.500 0.000
O: 0.000 0.000 0.500

Values from the calculation:
Total DFT energy (no corrections) ... -2.486 eV per atom
Space group ... P-1 (2)
Uncorrected formation energy ... -0.40 eV per atom

---

Entry 12:
## Na2Tm2AuO6 (PBE)

Data for a relaxed structure of Na2Tm2AuO6.

abc: 5.783 5.783 5.863
angles: 97.44 97.44 120.98
Fractional coordinates of all 11 atoms:
Na: 0.155 0.845 0.000
Na: 0.845 0.155 0.000
Tm: 0.335 0.665 0.500
Tm: 0.665 0.335 0.500
Au: 0.000 0.000 0.500
O: 0.047 0.390 0.705
O: 0.251 0.251 0.304
O: 0.390 0.047 0.705
O: 0.610 0.953 0.295
O: 0.749 0.749 0.696
O: 0.953 0.610 0.295

Values from the calculation:
Total DFT energy (no corrections) ... -6.064 eV per atom
Space group ... C2/m (12)
Uncorrected formation energy ... -2.01 eV per atom

---

Entry 13:
## Na2TmAuO4 (PBE)

Data for a relaxed structure of Na2TmAuO4.

abc: 5.148 5.148 5.148
angles: 108.84 108.84 110.75
Fractional coordinates of all 8 atoms:
Na: 0.000 0.500 0.500
Na: 0.500 0.000 0.500
Tm: 0.000 0.000 0.000
Au: 0.500 0.500 0.000
O: 0.050 0.050 0.616
O: 0.435 0.435 0.384
O: 0.565 0.950 0.000
O: 0.950 0.565 0.000

Values from the calculation:
Total DFT energy (no corrections) ... -5.090 eV per atom
Space group ... I-42m (121)
Uncorrected formation energy ... -1.31 eV per atom

---

Entry 14:
## NaTmAuO2 (PBE)

Data for a relaxed structure of NaTmAuO2.

abc: 6.363 5.331 6.318
angles: 90.00 90.67 90.00
Fractional coordinates of all 10 atoms:
Na: 0.000 0.030 0.250
Na: 0.000 0.970 0.750
Tm: 0.500 0.005 0.750
Tm: 0.500 0.995 0.250
Au: 0.500 0.500 0.000
Au: 0.500 0.500 0.500
O: 0.277 0.085 0.999
O: 0.277 0.915 0.499
O: 0.723 0.085 0.501
O: 0.723 0.915 0.001

Values from the calculation:
Total DFT energy (no corrections) ... -5.505 eV per atom
Space group ... P2/c (13)
Uncorrected formation energy ... -1.71 eV per atom

---

Entry 15:
## Na3Tm2AuO6 (PBE)

Data for a relaxed structure of Na3Tm2AuO6.

abc: 5.807 5.807 5.856
angles: 98.22 98.22 121.02
Fractional coordinates of all 12 atoms:
Na: 0.000 0.000 0.000
Na: 0.338 0.662 0.000
Na: 0.662 0.338 0.000
Tm: 0.173 0.827 0.500
Tm: 0.827 0.173 0.500
Au: 0.500 0.500 0.500
O: 0.067 0.425 0.270
O: 0.248 0.248 0.693
O: 0.425 0.067 0.270
O: 0.575 0.933 0.730
O: 0.752 0.752 0.307
O: 0.933 0.575 0.730

Values from the calculation:
Total DFT energy (no corrections) ... -5.882 eV per atom
Space group ... C2/m (12)
Uncorrected formation energy ... -2.05 eV per atom

---

Entry 16:
## NaY2AuO (PBE)

Data for a relaxed structure of NaY2AuO.

abc: 4.694 4.694 4.579
angles: 90.00 90.00 90.00
Fractional coordinates of all 5 atoms:
Na: 0.000 0.000 0.000
Y: 0.000 0.500 0.500
Y: 0.500 0.000 0.500
Au: 0.500 0.500 0.000
O: 0.000 0.000 0.500

Values from the calculation:
Total DFT energy (no corrections) ... -5.815 eV per atom
Space group ... P4/mmm (123)
Uncorrected formation energy ... -1.32 eV per atom

---

Entry 17:
## Na3Y3AuO8 (PBE)

Data for a relaxed structure of Na3Y3AuO8.

abc: 6.764 6.764 6.847
angles: 120.14 120.14 60.55
Fractional coordinates of all 15 atoms:
Na: 0.000 0.000 0.000
Na: 0.000 0.500 0.000
Na: 0.500 0.000 0.000
Y: 0.000 0.500 0.500
Y: 0.500 0.000 0.500
Y: 0.500 0.500 0.500
Au: 0.000 0.000 0.500
O: 0.218 0.218 0.699
O: 0.235 0.747 0.713
O: 0.253 0.765 0.287
O: 0.262 0.262 0.293
O: 0.738 0.738 0.707
O: 0.747 0.235 0.713
O: 0.765 0.253 0.287
O: 0.782 0.782 0.301

Values from the calculation:
Total DFT energy (no corrections) ... -6.599 eV per atom
Space group ... C2/m (12)
Uncorrected formation energy ... -2.18 eV per atom

---

Entry 18:
## NaY2AuO5 (PBE)

Data for a relaxed structure of NaY2AuO5.

abc: 6.559 6.559 5.902
angles: 90.00 90.00 90.00
Fractional coordinates of all 18 atoms:
Na: 0.000 0.000 0.000
Na: 0.500 0.500 0.000
Y: 0.177 0.323 0.500
Y: 0.323 0.823 0.500
Y: 0.677 0.177 0.500
Y: 0.823 0.677 0.500
Au: 0.000 0.500 0.000
Au: 0.500 0.000 0.000
O: 0.000 0.000 0.500
O: 0.137 0.637 0.261
O: 0.137 0.637 0.739
O: 0.363 0.137 0.261
O: 0.363 0.137 0.739
O: 0.500 0.500 0.500
O: 0.637 0.863 0.261
O: 0.637 0.863 0.739
O: 0.863 0.363 0.261
O: 0.863 0.363 0.739

Values from the calculation:
Total DFT energy (no corrections) ... -6.898 eV per atom
Space group ... P4/mbm (127)
Uncorrected formation energy ... -2.20 eV per atom

---

Entry 19:
## Na2Y2AuO6 (PBE)

Data for a relaxed structure of Na2Y2AuO6.

abc: 5.885 5.885 5.864
angles: 97.21 97.21 121.08
Fractional coordinates of all 11 atoms:
Na: 0.151 0.849 0.000
Na: 0.849 0.151 0.000
Y: 0.335 0.665 0.500
Y: 0.665 0.335 0.500
Au: 0.000 0.000 0.500
O: 0.044 0.382 0.705
O: 0.247 0.247 0.303
O: 0.382 0.044 0.705
O: 0.618 0.956 0.295
O: 0.753 0.753 0.697
O: 0.956 0.618 0.295

Values from the calculation:
Total DFT energy (no corrections) ... -6.357 eV per atom
Space group ... C2/m (12)
Uncorrected formation energy ... -1.94 eV per atom

---

Entry 20:
## Na2ZrAuO4 (PBE)

Data for a relaxed structure of Na2ZrAuO4.

abc: 5.364 5.364 5.364
angles: 111.40 111.40 105.68
Fractional coordinates of all 8 atoms:
Na: 0.000 0.000 0.000
Na: 0.750 0.250 0.500
Zr: 0.250 0.750 0.500
Au: 0.500 0.500 0.000
O: 0.243 0.728 0.865
O: 0.272 0.137 0.516
O: 0.621 0.757 0.484
O: 0.863 0.379 0.135

Values from the calculation:
Total DFT energy (no corrections) ... -5.978 eV per atom
Space group ... I-4 (82)
Uncorrected formation energy ... -1.69 eV per atom